! GGA-PBE Li5Ge5Pd2, optimized geometry; values from VASP
! DOS(E_F)   3.55 states/eV per cell
! Calculated total energy   -3.95 eV/atom
! Calculated formation energy   -366 meV per atom
&SYSTEM
  ibrav = 0, nat = 12, ntyp = 3
/
ATOMIC_SPECIES
Li 6.94 Li.upf
Ge 72.64 Ge.upf
Pd 106.42 Pd.upf
CELL_PARAMETERS angstrom
4.3641 0.0000 0.0000
-2.1820 4.0999 -0.8311
0.0000 -3.5606 11.5636
ATOMIC_POSITIONS crystal
Li 0.2860 0.5720 0.7047
Li 0.5000 0.0000 0.5000
Ge 0.0000 0.0000 0.0000
Ge 0.8548 0.7097 0.5571
Li 0.6651 0.3302 0.0020
Ge 0.1452 0.2903 0.4429
Li 0.7140 0.4280 0.2953
Ge 0.6909 0.3818 0.7949
Ge 0.3091 0.6182 0.2051
Pd 0.0173 0.0346 0.7916
Li 0.3349 0.6698 0.9980
Pd 0.9827 0.9654 0.2084